(1)
The following is a GGA-PBE calculation of an optimized crystal structure of YSnB3, from Alexandria via LeMat-Bulk.

Cell lengths 4.438, 4.438, 4.438 Å; angles 90.00, 90.00, 90.00 degrees
Positions (direct):
B (0.000, 0.000, 0.500)
Sn (0.000, 0.000, 0.000)
Y (0.500, 0.500, 0.500)
B (0.000, 0.500, 0.000)
B (0.500, 0.000, 0.000)

Polymorph energy (0 for the lowest one) ... 0 meV/atom
Symmetry ... No. 221
Energy of formation ... 1.45 eV/atom

(2)
The following is a GGA-PBE calculation of an optimized crystal structure of LiLuScCd, from Alexandria via LeMat-Bulk.

Cell lengths 5.059, 5.059, 5.059 Å; angles 60.00, 60.00, 60.00 degrees
Positions (direct):
Sc (0.000, 0.000, 0.000)
Cd (0.750, 0.750, 0.750)
Lu (0.500, 0.500, 0.500)
Li (0.250, 0.250, 0.250)

Symmetry ... No. 216
Energy of formation ... -0.09 eV/atom

(3)
The following is a GGA-PBE calculation of an optimized crystal structure of NaSbN, from Alexandria via LeMat-Bulk.

Cell lengths 6.618, 7.077, 6.642 Å; angles 123.78, 33.52, 104.26 degrees
Positions (direct):
N (0.515, 0.387, 0.138)
Na (0.509, 0.619, 0.592)
N (0.788, 0.900, 0.429)
Sb (0.864, 0.009, 0.720)
Sb (0.440, 0.279, 0.847)
Na (0.794, 0.668, 0.975)

Polymorph energy (0 for the lowest one) ... 0 meV/atom
Symmetry ... No. 2

(4)
The following is a GGA-PBE calculation of an optimized crystal structure of TlBi3Au3, from Alexandria via LeMat-Bulk.

Cell lengths 6.950, 6.950, 9.707 Å; angles 69.03, 69.03, 60.00 degrees
Positions (direct):
Au (0.056, 0.282, 0.854)
Bi (0.300, 0.468, 0.346)
Au (0.191, 0.944, 0.146)
Bi (0.468, 0.886, 0.346)
Bi (0.886, 0.300, 0.346)
Bi (0.532, 0.114, 0.654)
Bi (0.700, 0.532, 0.654)
Au (0.282, 0.809, 0.854)
Au (0.718, 0.191, 0.146)
Tl (0.332, 0.332, 0.004)
Tl (0.668, 0.668, 0.996)
Bi (0.114, 0.700, 0.654)
Au (0.809, 0.056, 0.854)
Au (0.944, 0.718, 0.146)

Polymorph energy (0 for the lowest one) ... 0 meV/atom
Symmetry ... No. 148
Energy of formation ... 0.00 eV/atom

Here are the calculated magnetic moment numbers, same order: 0.0; 0.0; 0.0; 0.0 (μB per cell).